--- i ---
Compound: KCd2Re
Source: Alexandria
Functional: PBE
Structure: relaxed

Computed properties:
D(E_F): 0.960 states/eV/atom
ρ: 7.9 g/cm³

Structure (CIF):
```
data_KCd2Re
_symmetry_space_group_name_H-M 'P 1'
_symmetry_Int_Tables_number 1
_symmetry_space_group_name_Hall 'P 1'
_cell_length_a 5.120
_cell_length_b 5.120
_cell_length_c 5.120
_cell_angle_alpha 60.00
_cell_angle_beta 60.00
_cell_angle_gamma 60.00
loop_
_atom_site_label
_atom_site_type_symbol
_atom_site_fract_x
_atom_site_fract_y
_atom_site_fract_z
K1 K 0.000 0.000 0.000
Cd1 Cd 0.500 0.500 0.500
Cd2 Cd 0.750 0.750 0.750
Re1 Re 0.250 0.250 0.250
```

***

--- ii ---
Compound: KCd2Re
Source: Alexandria
Functional: PBE
Structure: relaxed

Computed properties:
D(E_F): 0.325 states/eV/atom
ρ: 8.8 g/cm³

Structure (CIF):
```
data_KCd2Re
_symmetry_space_group_name_H-M 'P 1'
_symmetry_Int_Tables_number 1
_symmetry_space_group_name_Hall 'P 1'
_cell_length_a 2.843
_cell_length_b 2.843
_cell_length_c 10.986
_cell_angle_alpha 90.00
_cell_angle_beta 90.00
_cell_angle_gamma 106.25
loop_
_atom_site_label
_atom_site_type_symbol
_atom_site_fract_x
_atom_site_fract_y
_atom_site_fract_z
K1 K 0.000 0.000 0.000
Cd1 Cd 0.000 0.000 0.469
Cd2 Cd 0.500 0.500 0.715
Re1 Re 0.500 0.500 0.258
```

***

--- iii ---
Compound: KCd2Re
Source: Alexandria
Functional: PBE
Structure: relaxed

Computed properties:
D(E_F): 0.895 states/eV/atom
ρ: 8.9 g/cm³

Structure (CIF):
```
data_KCd2Re
_symmetry_space_group_name_H-M 'P 1'
_symmetry_Int_Tables_number 1
_symmetry_space_group_name_Hall 'P 1'
_cell_length_a 2.860
_cell_length_b 2.860
_cell_length_c 10.909
_cell_angle_alpha 90.00
_cell_angle_beta 90.00
_cell_angle_gamma 108.85
loop_
_atom_site_label
_atom_site_type_symbol
_atom_site_fract_x
_atom_site_fract_y
_atom_site_fract_z
K1 K 0.000 0.000 0.000
Cd1 Cd 0.500 0.500 0.280
Cd2 Cd 0.500 0.500 0.720
Re1 Re 0.000 0.000 0.500
```

***

--- iv ---
Compound: KCd2Re
Source: Alexandria
Functional: PBE
Structure: relaxed

Computed properties:
D(E_F): 0.820 states/eV/atom
ρ: 7.9 g/cm³

Structure (CIF):
```
data_KCd2Re
_symmetry_space_group_name_H-M 'P 1'
_symmetry_Int_Tables_number 1
_symmetry_space_group_name_Hall 'P 1'
_cell_length_a 2.818
_cell_length_b 4.340
_cell_length_c 7.759
_cell_angle_alpha 90.00
_cell_angle_beta 90.00
_cell_angle_gamma 90.00
loop_
_atom_site_label
_atom_site_type_symbol
_atom_site_fract_x
_atom_site_fract_y
_atom_site_fract_z
K1 K 0.000 0.000 0.000
Cd1 Cd 0.500 0.500 0.316
Cd2 Cd 0.500 0.500 0.684
Re1 Re 0.000 0.000 0.500
```

***

Which structure is the most stable? The one labeled iv.